The following is a PBE calculation of a relaxed structure of La8Te4Se3S, from Alexandria via LeMat-Bulk.

CIF file:
```
data_La8Te4Se3S
_cell_length_a 8.8198
_cell_length_b 8.8198
_cell_length_c 21.9559
_cell_angle_alpha 90.00
_cell_angle_beta 90.00
_cell_angle_gamma 120.00
_space_group_name_H-M_alt 'R -3 m'
_space_group_IT_number 166
_space_group_name_Hall '-R 3 2"'
loop_
_atom_site_label
_atom_site_type_symbol
_atom_site_fract_x
_atom_site_fract_y
_atom_site_fract_z
La1 La 0.0000 0.0000 0.2411
La2 La 0.0103 0.5051 0.2393
Te1 Te 0.0000 0.0000 0.0000
Te2 Te 0.0000 0.5000 0.0000
Se1 Se 0.0000 0.5000 0.5000
S1 S 0.0000 0.0000 0.5000
```

Summary:
Calculated volume in Å³/atom: 30.81
DFT total energy in eV/cell: -287.00
Density in g/cm3: 6.4
Formation energy (no corrections) in meV/atom: -1819